The following is a DFT calculation (PBE) of a relaxed structure of Sr2AlOs.

Cell: 3.1257 4.4204 7.3811 Å, 90.00 90.00 90.00°
Space group Pmmm (No. 47)
Inequivalent atoms, fractional coordinates:
1 Sr 0.0000 0.0000 0.2309 (multiplicity 2)
2 Al 0.5000 0.5000 0.5000 (multiplicity 1)
3 Os 0.5000 0.5000 0.0000 (multiplicity 1)

Results
The value obtained for the density of states at the Fermi level is 0.8612 states/eV/atom. As for the total energy: -0.293 Ry/atom.